(1)
An optimized crystal structure of MnRu2Pt. Source: the Alexandria database, functional PBE.

Results
- Formation energy: 0.01 eV/atom

```
data_MnRu2Pt
_symmetry_space_group_name_H-M 'C 1 2/m 1'
_symmetry_Int_Tables_number 12
_cell_length_a 8.9417
_cell_length_b 2.7204
_cell_length_c 4.6954
_cell_angle_alpha 90.00
_cell_angle_beta 100.85
_cell_angle_gamma 90.00
loop_
_symmetry_equiv_pos_as_xyz
'x,y,z'
'-x,-y,-z'
'-x,y,-z'
'x,-y,z'
'x+1/2,y+1/2,z'
'-x+1/2,-y+1/2,-z'
'-x+1/2,y+1/2,-z'
'x+1/2,-y+1/2,z'
loop_
_atom_site_label
_atom_site_fract_x
_atom_site_fract_y
_atom_site_fract_z
Mn1 0.0000 0.0000 0.0000
Ru1 0.2448 0.5000 0.2391
Pt1 0.0000 0.5000 0.5000
```



(2)
An optimized crystal structure of NaCe4Tm3Se8. Source: the Alexandria database, functional PBE.

```
data_NaCe4Tm3Se8
_symmetry_space_group_name_H-M 'R -3 m'
_symmetry_Int_Tables_number 166
_symmetry_space_group_name_Hall '-R 3 2"'
_cell_length_a 8.2070
_cell_length_b 8.2070
_cell_length_c 20.5674
_cell_angle_alpha 90.00
_cell_angle_beta 90.00
_cell_angle_gamma 120.00
loop_
_atom_site_label
_atom_site_fract_x
_atom_site_fract_y
_atom_site_fract_z
Na1 0.0000 0.0000 0.0000
Ce1 0.0000 0.0000 0.5000
Ce2 0.0000 0.5000 0.5000
Tm1 0.0000 0.5000 0.0000
Se1 0.0000 0.0000 0.2558
Se2 0.0031 0.5016 0.2555
```



(3)
An optimized crystal structure of Mg2Tl2Si. Source: the Alexandria database, functional PBE.

Results
- Excess energy over the best structure of this formula in the dataset: 0.0 meV/atom

```
data_Mg2Tl2Si
_symmetry_space_group_name_H-M 'P 4/m b m'
_symmetry_Int_Tables_number 127
_symmetry_space_group_name_Hall '-P 4 2ab'
_cell_length_a 7.0377
_cell_length_b 7.0377
_cell_length_c 5.0893
_cell_angle_alpha 90.00
_cell_angle_beta 90.00
_cell_angle_gamma 90.00
loop_
_atom_site_label
_atom_site_fract_x
_atom_site_fract_y
_atom_site_fract_z
Mg1 0.1552 0.3448 0.0000
Tl1 0.1669 0.6669 0.5000
Si1 0.0000 0.0000 0.0000
```



(4)
An optimized crystal structure of Tb4HPb2. Source: the Alexandria database, functional PBE.

Results
- Excess energy over the best structure of this formula in the dataset: 0.0 meV/atom

```
data_Tb4HPb2
_symmetry_space_group_name_H-M 'P 1 21/m 1'
_symmetry_Int_Tables_number 11
_cell_length_a 6.3864
_cell_length_b 6.5462
_cell_length_c 9.2402
_cell_angle_alpha 90.00
_cell_angle_beta 109.29
_cell_angle_gamma 90.00
loop_
_symmetry_equiv_pos_as_xyz
'x,y,z'
'-x,-y,-z'
'-x,y+1/2,-z'
'x,-y+1/2,z'
loop_
_atom_site_label
_atom_site_fract_x
_atom_site_fract_y
_atom_site_fract_z
Tb1 0.0360 0.0014 0.2987
Tb2 0.3653 0.7500 0.0541
Tb3 0.4351 0.7500 0.6534
H1 0.2108 0.7500 0.7956
Pb1 0.1861 0.2500 0.0285
Pb2 0.3503 0.2500 0.6035
```



(5)
An optimized crystal structure of Pu2SnBi2. Source: the Alexandria database, functional PBE.

Results
- Formation energy: -0.18 eV/atom
- Excess energy over the best structure of this formula in the dataset: 0.0 meV/atom

```
data_Pu2SnBi2
_symmetry_space_group_name_H-M 'P 63/m m c'
_symmetry_Int_Tables_number 194
_symmetry_space_group_name_Hall '-P 6c 2c'
_cell_length_a 5.2191
_cell_length_b 5.2191
_cell_length_c 13.0411
_cell_angle_alpha 90.00
_cell_angle_beta 90.00
_cell_angle_gamma 120.00
loop_
_atom_site_label
_atom_site_fract_x
_atom_site_fract_y
_atom_site_fract_z
Pu1 0.3333 0.6667 0.1109
Sn1 0.0000 0.0000 0.2500
Bi1 0.0000 0.0000 0.0000
Bi2 0.3333 0.6667 0.7500
```



(6)
An optimized crystal structure of PmPrMnN4. Source: the Alexandria database, functional PBE.

```
data_PmPrMnN4
_symmetry_space_group_name_H-M 'P 1 21/m 1'
_symmetry_Int_Tables_number 11
_cell_length_a 5.6597
_cell_length_b 5.4282
_cell_length_c 6.9860
_cell_angle_alpha 90.00
_cell_angle_beta 108.45
_cell_angle_gamma 90.00
loop_
_symmetry_equiv_pos_as_xyz
'x,y,z'
'-x,-y,-z'
'-x,y+1/2,-z'
'x,-y+1/2,z'
loop_
_atom_site_label
_atom_site_fract_x
_atom_site_fract_y
_atom_site_fract_z
Pm1 0.2127 0.2500 0.0424
Pr1 0.2832 0.2500 0.5679
Mn1 0.2335 0.7500 0.8002
N1 0.0284 0.5047 0.7437
N2 0.3952 0.7500 0.0540
N3 0.4284 0.7500 0.6491
```



(7)
An optimized crystal structure of LaI. Source: the Alexandria database, functional PBE.

```
data_LaI
_symmetry_space_group_name_H-M 'P 42/m n m'
_symmetry_Int_Tables_number 136
_symmetry_space_group_name_Hall '-P 4n 2n'
_cell_length_a 6.4461
_cell_length_b 6.4461
_cell_length_c 6.4554
_cell_angle_alpha 90.00
_cell_angle_beta 90.00
_cell_angle_gamma 90.00
loop_
_atom_site_label
_atom_site_fract_x
_atom_site_fract_y
_atom_site_fract_z
La1 0.2235 0.2235 0.0000
I1 0.2252 0.2252 0.5000
```



(8)
An optimized crystal structure of K2CeTa5O15. Source: the Alexandria database, functional PBE.

```
data_K2CeTa5O15
_symmetry_space_group_name_H-M 'P 4/m b m'
_symmetry_Int_Tables_number 127
_symmetry_space_group_name_Hall '-P 4 2ab'
_cell_length_a 12.7044
_cell_length_b 12.7044
_cell_length_c 3.9512
_cell_angle_alpha 90.00
_cell_angle_beta 90.00
_cell_angle_gamma 90.00
loop_
_atom_site_label
_atom_site_fract_x
_atom_site_fract_y
_atom_site_fract_z
K1 0.1694 0.3306 0.0000
Ce1 0.0000 0.0000 0.0000
Ta1 0.0000 0.5000 0.5000
Ta2 0.0766 0.7867 0.5000
O1 0.0000 0.5000 0.0000
O2 0.0013 0.3426 0.5000
O3 0.0608 0.1321 0.5000
O4 0.0773 0.8074 0.0000
O5 0.2160 0.7160 0.5000
```



(9)
An optimized crystal structure of Ce2S2F3. Source: the Alexandria database, functional PBE.

```
data_Ce2S2F3
_symmetry_space_group_name_H-M 'C 1 2/m 1'
_symmetry_Int_Tables_number 12
_cell_length_a 9.9116
_cell_length_b 3.8713
_cell_length_c 7.0600
_cell_angle_alpha 90.00
_cell_angle_beta 112.51
_cell_angle_gamma 90.00
loop_
_symmetry_equiv_pos_as_xyz
'x,y,z'
'-x,-y,-z'
'-x,y,-z'
'x,-y,z'
'x+1/2,y+1/2,z'
'-x+1/2,-y+1/2,-z'
'-x+1/2,y+1/2,-z'
'x+1/2,-y+1/2,z'
loop_
_atom_site_label
_atom_site_fract_x
_atom_site_fract_y
_atom_site_fract_z
Ce1 0.1701 0.0000 0.2215
S1 0.1337 0.0000 0.8022
F1 0.0000 0.5000 0.0000
F2 0.1572 0.5000 0.4203
```



(10)
An optimized crystal structure of Sr2MgNb2. Source: the Alexandria database, functional PBE.

Results
- Formation energy: 1.00 eV/atom
- Excess energy over the best structure of this formula in the dataset: 481.2 meV/atom

```
data_Sr2MgNb2
_symmetry_space_group_name_H-M 'I 4/m m m'
_symmetry_Int_Tables_number 139
_symmetry_space_group_name_Hall '-I 4 2'
_cell_length_a 4.5750
_cell_length_b 4.5750
_cell_length_c 14.7973
_cell_angle_alpha 90.00
_cell_angle_beta 90.00
_cell_angle_gamma 90.00
loop_
_atom_site_label
_atom_site_fract_x
_atom_site_fract_y
_atom_site_fract_z
Sr1 0.0000 0.5000 0.2500
Mg1 0.0000 0.0000 0.0000
Nb1 0.0000 0.0000 0.4267
```



(11)
An optimized crystal structure of AcTeRu. Source: the Alexandria database, functional PBE.

```
data_AcTeRu
_symmetry_space_group_name_H-M 'P -1'
_symmetry_Int_Tables_number 2
_cell_length_a 4.3934
_cell_length_b 4.5717
_cell_length_c 9.1375
_cell_angle_alpha 76.04
_cell_angle_beta 89.99
_cell_angle_gamma 90.00
loop_
_symmetry_equiv_pos_as_xyz
'x,y,z'
'-x,-y,-z'
loop_
_atom_site_label
_atom_site_fract_x
_atom_site_fract_y
_atom_site_fract_z
Ac1 0.2503 0.1111 0.2872
Te1 0.2494 0.3177 0.8588
Ru1 0.2500 0.4867 0.5551
```



(12)
An optimized crystal structure of Pr2PbAuO5. Source: the Alexandria database, functional PBE.

```
data_Pr2PbAuO5
_symmetry_space_group_name_H-M 'P 4/m b m'
_symmetry_Int_Tables_number 127
_symmetry_space_group_name_Hall '-P 4 2ab'
_cell_length_a 6.8512
_cell_length_b 6.8512
_cell_length_c 6.1682
_cell_angle_alpha 90.00
_cell_angle_beta 90.00
_cell_angle_gamma 90.00
loop_
_atom_site_label
_atom_site_fract_x
_atom_site_fract_y
_atom_site_fract_z
Pr1 0.1719 0.3281 0.0000
Pb1 0.0000 0.0000 0.5000
Au1 0.0000 0.5000 0.5000
O1 0.0000 0.0000 0.0000
O2 0.1460 0.6460 0.2415
```



(13)
An optimized crystal structure of Zr2TiAu. Source: the Alexandria database, functional PBE.

Results
- Formation energy: -0.22 eV/atom
- Excess energy over the best structure of this formula in the dataset: 66.4 meV/atom

```
data_Zr2TiAu
_symmetry_space_group_name_H-M 'P 4/m m m'
_symmetry_Int_Tables_number 123
_symmetry_space_group_name_Hall '-P 4 2'
_cell_length_a 4.3298
_cell_length_b 4.3298
_cell_length_c 4.2286
_cell_angle_alpha 90.00
_cell_angle_beta 90.00
_cell_angle_gamma 90.00
loop_
_atom_site_label
_atom_site_fract_x
_atom_site_fract_y
_atom_site_fract_z
Zr1 0.0000 0.5000 0.0000
Ti1 0.0000 0.0000 0.5000
Au1 0.5000 0.5000 0.5000
```



(14)
An optimized crystal structure of La2SmPaRu2. Source: the Alexandria database, functional PBE.

Results
- Formation energy: -0.31 eV/atom

```
data_La2SmPaRu2
_symmetry_space_group_name_H-M 'I b a m'
_symmetry_Int_Tables_number 72
_symmetry_space_group_name_Hall '-I 2 2c'
_cell_length_a 7.1149
_cell_length_b 13.4017
_cell_length_c 6.9664
_cell_angle_alpha 90.00
_cell_angle_beta 90.00
_cell_angle_gamma 90.00
loop_
_atom_site_label
_atom_site_fract_x
_atom_site_fract_y
_atom_site_fract_z
La1 0.2211 0.1951 0.0000
Sm1 0.0000 0.5000 0.2500
Pa1 0.0000 0.0000 0.2500
Ru1 0.2084 0.0948 0.5000
```



(15)
An optimized crystal structure of SmDyTe2. Source: the Alexandria database, functional PBE.

Results
- Excess energy over the best structure of this formula in the dataset: 146.8 meV/atom

```
data_SmDyTe2
_symmetry_space_group_name_H-M 'F m -3 m'
_symmetry_Int_Tables_number 225
_symmetry_space_group_name_Hall '-F 4 2 3'
_cell_length_a 7.6225
_cell_length_b 7.6225
_cell_length_c 7.6225
_cell_angle_alpha 90.00
_cell_angle_beta 90.00
_cell_angle_gamma 90.00
loop_
_atom_site_label
_atom_site_fract_x
_atom_site_fract_y
_atom_site_fract_z
Sm1 0.0000 0.0000 0.0000
Dy1 0.0000 0.0000 0.5000
Te1 0.2500 0.2500 0.2500
```



(16)
An optimized crystal structure of ZrCu2Si. Source: the Alexandria database, functional PBE.

```
data_ZrCu2Si
_symmetry_space_group_name_H-M 'I 4/m m m'
_symmetry_Int_Tables_number 139
_symmetry_space_group_name_Hall '-I 4 2'
_cell_length_a 3.8880
_cell_length_b 3.8880
_cell_length_c 8.0233
_cell_angle_alpha 90.00
_cell_angle_beta 90.00
_cell_angle_gamma 90.00
loop_
_atom_site_label
_atom_site_fract_x
_atom_site_fract_y
_atom_site_fract_z
Zr1 0.0000 0.0000 0.0000
Cu1 0.0000 0.5000 0.2500
Si1 0.0000 0.0000 0.5000
```



(17)
An optimized crystal structure of Sm2InPd4. Source: the Alexandria database, functional PBE.

Results
- Formation energy: -0.21 eV/atom

```
data_Sm2InPd4
_symmetry_space_group_name_H-M 'I 4/m m m'
_symmetry_Int_Tables_number 139
_symmetry_space_group_name_Hall '-I 4 2'
_cell_length_a 4.9449
_cell_length_b 4.9449
_cell_length_c 14.4627
_cell_angle_alpha 90.00
_cell_angle_beta 90.00
_cell_angle_gamma 90.00
loop_
_atom_site_label
_atom_site_fract_x
_atom_site_fract_y
_atom_site_fract_z
Sm1 0.0000 0.0000 0.1316
In1 0.0000 0.0000 0.5000
Pd1 0.0000 0.0000 0.3165
Pd2 0.0000 0.5000 0.0000
```



(18)
An optimized crystal structure of Dy6Tm4Th. Source: the Alexandria database, functional PBE.

Results
- Formation energy: 0.15 eV/atom
- Excess energy over the best structure of this formula in the dataset: 0.0 meV/atom

```
data_Dy6Tm4Th
_symmetry_space_group_name_H-M 'C m c m'
_symmetry_Int_Tables_number 63
_symmetry_space_group_name_Hall '-C 2c 2'
_cell_length_a 5.6618
_cell_length_b 9.6113
_cell_length_c 25.4942
_cell_angle_alpha 90.00
_cell_angle_beta 90.00
_cell_angle_gamma 90.00
loop_
_atom_site_label
_atom_site_fract_x
_atom_site_fract_y
_atom_site_fract_z
Dy1 0.0000 0.0000 0.0000
Dy2 0.0000 0.0222 0.2500
Dy3 0.0000 0.3140 0.6009
Dy4 0.0000 0.3556 0.1819
Tm1 0.0000 0.0242 0.1222
Tm2 0.0000 0.3408 0.0416
Th1 0.0000 0.3128 0.7500
```



(19)
An optimized crystal structure of TaIn2Ir2. Source: the Alexandria database, functional PBE.

Results
- Formation energy: -0.07 eV/atom

```
data_TaIn2Ir2
_symmetry_space_group_name_H-M 'P 4/m b m'
_symmetry_Int_Tables_number 127
_symmetry_space_group_name_Hall '-P 4 2ab'
_cell_length_a 6.7478
_cell_length_b 6.7478
_cell_length_c 4.1653
_cell_angle_alpha 90.00
_cell_angle_beta 90.00
_cell_angle_gamma 90.00
loop_
_atom_site_label
_atom_site_fract_x
_atom_site_fract_y
_atom_site_fract_z
Ta1 0.0000 0.0000 0.0000
In1 0.1694 0.3306 0.5000
Ir1 0.1369 0.6369 0.0000
```



(20)
An optimized crystal structure of MgBeRe2. Source: the Alexandria database, functional PBE.

Results
- Formation energy: 0.32 eV/atom
- Excess energy over the best structure of this formula in the dataset: 264.1 meV/atom

```
data_MgBeRe2
_symmetry_space_group_name_H-M 'C 1 2/m 1'
_symmetry_Int_Tables_number 12
_cell_length_a 5.2468
_cell_length_b 8.6569
_cell_length_c 2.6485
_cell_angle_alpha 90.00
_cell_angle_beta 108.60
_cell_angle_gamma 90.00
loop_
_symmetry_equiv_pos_as_xyz
'x,y,z'
'-x,-y,-z'
'-x,y,-z'
'x,-y,z'
'x+1/2,y+1/2,z'
'-x+1/2,-y+1/2,-z'
'-x+1/2,y+1/2,-z'
'x+1/2,-y+1/2,z'
loop_
_atom_site_label
_atom_site_fract_x
_atom_site_fract_y
_atom_site_fract_z
Mg1 0.0000 0.0000 0.0000
Be1 0.0000 0.5000 0.0000
Re1 0.2500 0.2500 0.5000
```



E values (in eV/atom) by entry order: -8.44, -5.87, -2.52, -4.67, -8.27, -8.30, -4.17, -9.05, -6.61, -4.01, -6.21, -6.49, -7.28, -7.42, -5.11, -5.76, -4.92, -4.67, -7.08, -7.24.